Material: ZnMo
Method: DFT, PBE-GGA
State: optimized geometry

Formation energy = 0.37 eV/f.u.
DFT total energy = -11.74 eV/f.u.
Volume = 15.1 Å³/atom
Space-group type = Pmc2_1
Theoretical density = 8.87 g/cm3

Cell lengths 4.479, 9.277, 4.360 Å; angles 90.00, 90.00, 90.00 degrees
Fractional positions:
1 Mo 0.471 0.169 0.000
2 Mo 0.871 0.509 0.500
3 Mo 0.864 0.175 0.500
4 Mo 0.971 0.664 0.000
5 Mo 0.371 0.324 0.500
6 Mo 0.364 0.658 0.500
7 Zn 0.966 0.341 0.000
8 Zn 0.844 0.839 0.500
9 Zn 0.984 0.990 0.000
10 Zn 0.484 0.843 0.000
11 Zn 0.344 0.995 0.500
12 Zn 0.466 0.492 0.000